# TaRe2Cl

A geometry-optimized TaRe2Cl structure (GGA-PBE, Alexandria via LeMat-Bulk).

Unit cell a=2.822 b=2.822 c=9.782 alpha=90.00 beta=90.00 gamma=113.86
Positions (direct):
Cl (0.500, 0.500, 0.700)
Re (0.000, 0.000, 0.045)
Re (0.500, 0.500, 0.258)
Ta (0.000, 0.000, 0.496)

D(E_F) = 3.34 states/eV/f.u.
formation energy from raw total energies = 367.1 meV/atom
ΔE to the lowest computed polymorph = 1.02 eV/f.u.
SG = Cmm2, No. 35
M_tot = 0.00 Bohr magnetons per cell